Record 1
# HfPd2Au GGA-PBE optimized geometry
data_HfPd2Au
_cell_length_a 7.298
_cell_length_b 7.298
_cell_length_c 5.651
_cell_angle_alpha 90.00
_cell_angle_beta 90.00
_cell_angle_gamma 90.00
_space_group_name_H-M_alt 'I -4 2 d'
_space_group_IT_number 122
_space_group_name_Hall 'I -4 2bw'
loop_
_atom_site_label
_atom_site_fract_x
_atom_site_fract_y
_atom_site_fract_z
Hf1 0.000 0.000 0.000
Pd1 0.237 0.750 0.125
Au1 0.000 0.000 0.500
# Polymorph energy (0 for the lowest one): 395.4 meV per atom
# Energy of formation: -25.8 kJ per mole of atoms

Record 2
# HfPd2Au GGA-PBE optimized geometry
data_HfPd2Au
_cell_length_a 3.469
_cell_length_b 3.469
_cell_length_c 5.759
_cell_angle_alpha 90.00
_cell_angle_beta 90.00
_cell_angle_gamma 90.00
_space_group_name_H-M_alt 'P 4/m m m'
_space_group_IT_number 123
_space_group_name_Hall '-P 4 2'
loop_
_atom_site_label
_atom_site_fract_x
_atom_site_fract_y
_atom_site_fract_z
Hf1 0.000 0.000 0.000
Pd1 0.500 0.500 0.245
Au1 0.000 0.000 0.500
# Polymorph energy (0 for the lowest one): 0.0 meV per atom
# Energy of formation: -63.9 kJ per mole of atoms

Record 3
# HfPd2Au GGA-PBE optimized geometry
data_HfPd2Au
_cell_length_a 4.091
_cell_length_b 4.091
_cell_length_c 4.071
_cell_angle_alpha 90.00
_cell_angle_beta 90.00
_cell_angle_gamma 90.00
_space_group_name_H-M_alt 'P 4/m m m'
_space_group_IT_number 123
_space_group_name_Hall '-P 4 2'
loop_
_atom_site_label
_atom_site_fract_x
_atom_site_fract_y
_atom_site_fract_z
Hf1 0.000 0.000 0.000
Pd1 0.000 0.500 0.500
Au1 0.500 0.500 0.000
# Polymorph energy (0 for the lowest one): 83.6 meV per atom
# Energy of formation: -55.9 kJ per mole of atoms

Record 4
# HfPd5Au2 GGA-PBE optimized geometry
data_HfPd5Au2
_cell_length_a 5.684
_cell_length_b 11.330
_cell_length_c 4.086
_cell_angle_alpha 90.00
_cell_angle_beta 90.00
_cell_angle_gamma 90.00
_space_group_name_H-M_alt 'P b a m'
_space_group_IT_number 55
_space_group_name_Hall '-P 2 2ab'
loop_
_atom_site_label
_atom_site_fract_x
_atom_site_fract_y
_atom_site_fract_z
Hf1 0.000 0.000 0.000
Pd1 0.000 0.500 0.000
Pd2 0.011 0.242 0.000
Pd3 0.238 0.880 0.500
Au1 0.235 0.629 0.500
# Polymorph energy (0 for the lowest one): 27.7 meV per atom
# Energy of formation: -45.9 kJ per mole of atoms

Record 5
# HfPd2Au6 GGA-PBE optimized geometry
data_HfPd2Au6
_cell_length_a 7.657
_cell_length_b 4.882
_cell_length_c 8.621
_cell_angle_alpha 90.00
_cell_angle_beta 98.04
_cell_angle_gamma 90.00
_space_group_name_H-M_alt 'C 1 2/m 1'
_space_group_IT_number 12
_space_group_name_Hall '-C 2y'
loop_
_atom_site_label
_atom_site_fract_x
_atom_site_fract_y
_atom_site_fract_z
Hf1 0.000 0.000 0.000
Pd1 0.167 0.500 0.108
Au1 0.002 0.000 0.672
Au2 0.167 0.500 0.786
Au3 0.168 0.500 0.446
# Polymorph energy (0 for the lowest one): 45.8 meV per atom
# Energy of formation: -26.9 kJ per mole of atoms

Record 6
# HfPd2Au5 GGA-PBE optimized geometry
data_HfPd2Au5
_cell_length_a 7.123
_cell_length_b 7.123
_cell_length_c 11.464
_cell_angle_alpha 90.00
_cell_angle_beta 90.00
_cell_angle_gamma 90.00
_space_group_name_H-M_alt 'I 4/m c m'
_space_group_IT_number 140
_space_group_name_Hall '-I 4 2c'
loop_
_atom_site_label
_atom_site_fract_x
_atom_site_fract_y
_atom_site_fract_z
Hf1 0.000 0.000 0.250
Pd1 0.142 0.358 0.000
Au1 0.000 0.000 0.000
Au2 0.152 0.348 0.337
# Polymorph energy (0 for the lowest one): 155.6 meV per atom
# Energy of formation: -15.5 kJ per mole of atoms

Record 7
# Hf2Pd4Au3 GGA-PBE optimized geometry
data_Hf2Pd4Au3
_cell_length_a 9.088
_cell_length_b 4.060
_cell_length_c 8.709
_cell_angle_alpha 90.00
_cell_angle_beta 107.55
_cell_angle_gamma 90.00
_space_group_name_H-M_alt 'C 1 2/m 1'
_space_group_IT_number 12
_space_group_name_Hall '-C 2y'
loop_
_atom_site_label
_atom_site_fract_x
_atom_site_fract_y
_atom_site_fract_z
Hf1 0.169 0.000 0.222
Pd1 0.002 0.500 0.325
Pd2 0.167 0.000 0.892
Au1 0.000 0.500 0.000
Au2 0.165 0.000 0.558
# Energy of formation: -63.0 kJ per mole of atoms

Record 8
# HfPd2Au GGA-PBE optimized geometry
data_HfPd2Au
_cell_length_a 6.502
_cell_length_b 6.502
_cell_length_c 6.502
_cell_angle_alpha 90.00
_cell_angle_beta 90.00
_cell_angle_gamma 90.00
_space_group_name_H-M_alt 'F m -3 m'
_space_group_IT_number 225
_space_group_name_Hall '-F 4 2 3'
loop_
_atom_site_label
_atom_site_fract_x
_atom_site_fract_y
_atom_site_fract_z
Hf1 0.000 0.000 0.000
Pd1 0.250 0.250 0.250
Au1 0.000 0.000 0.500
# Polymorph energy (0 for the lowest one): 52.0 meV per atom
# Energy of formation: -58.9 kJ per mole of atoms